Entry 1:
A plane-wave DFT calculation with PBE was carried out for a geometry-optimized MgTl2Hg3 structure.

As for the final energy: -1.259 eV per atom. Its magnetic moment is 0.00 μB/atom.

abc: 7.1272 5.2159 8.9178
angles: 107.00 90.00 90.00
With the nearest neighbours (Å) after each atom.
Atoms (fractional coordinates):
Mg 0.2351 0.5000 0.0000  8 Hg 2.98-3.16
Mg 0.7351 0.5000 0.0000  8 Hg 2.98-3.16
Tl 0.7349 0.8199 0.6398  8 Hg 3.23-3.55, 4 Tl 3.53-3.56
Tl 0.2349 0.1801 0.3602  8 Hg 3.23-3.55, 4 Tl 3.53-3.56
Tl 0.2349 0.8199 0.6398  8 Hg 3.23-3.55, 4 Tl 3.53-3.56
Tl 0.7349 0.1801 0.3602  8 Hg 3.23-3.55, 4 Tl 3.53-3.56
Hg 0.9850 0.3596 0.7192  2 Mg 2.98-2.99, 4 Tl 3.23
Hg 0.4850 0.6404 0.2808  2 Mg 2.98-2.99, 4 Tl 3.23
Hg 0.9850 0.0000 0.0000  4 Mg 3.16
Hg 0.4850 0.0000 0.0000  4 Mg 3.16
Hg 0.9850 0.6404 0.2808  2 Mg 2.98-2.99, 4 Tl 3.23
Hg 0.4850 0.3596 0.7192  2 Mg 2.98-2.99, 4 Tl 3.23

***

Entry 2:
A plane-wave DFT calculation with PBE was carried out for a geometry-optimized Mg6TlHg2 structure.

As for the final energy: -1.501 eV per atom. Its magnetic moment is 0.00 μB/atom.

abc: 4.1272 7.6669 7.6059
angles: 120.27 90.00 90.00
With the nearest neighbours (Å) after each atom.
Atoms (fractional coordinates):
Mg 0.5000 0.5951 0.0000  4 Hg 3.09, 1 Tl 3.11, 6 Mg 3.27-3.41
Mg 0.5000 0.4061 0.4068  1 Tl 3.09, 4 Hg 3.10-3.11, 6 Mg 3.25-3.43
Mg 0.5000 0.9993 0.5932  1 Tl 3.09, 4 Hg 3.10-3.11, 6 Mg 3.25-3.43
Mg 0.0000 0.2637 0.0000  2 Hg 2.84, 2 Tl 2.89
Mg 0.0000 0.7354 0.7365  2 Hg 2.84-2.85, 2 Tl 2.88
Mg 0.0000 0.9990 0.2635  2 Hg 2.84-2.85, 2 Tl 2.88
Tl 0.5000 0.0007 0.0000  9 Mg 2.88-3.11
Hg 0.0000 0.3338 0.6669  9 Mg 2.84-3.11
Hg 0.0000 0.6669 0.3331  9 Mg 2.84-3.11

***

Entry 3:
A plane-wave DFT calculation with PBE was carried out for a geometry-optimized Mg2Tl2Hg7 structure.

The energy above the most stable polymorph in this dataset is 0.0 meV per atom. Its magnetic moment is 0.00 μB/atom.

abc: 3.6134 10.2080 10.2080
angles: 52.46 79.81 79.81
With the nearest neighbours (Å) after each atom.
Atoms (fractional coordinates):
Mg 0.7297 0.8845 0.6562  6 Hg 2.92-2.93
Mg 0.2703 0.3438 0.1155  6 Hg 2.92-2.93
Tl 0.0000 0.6457 0.3543  6 Hg 3.14-3.40
Tl 0.5000 0.3096 0.6904  5 Hg 3.12-3.38
Hg 0.8489 0.0629 0.2394  2 Mg 2.93, 2 Hg 3.23
Hg 0.8414 0.4836 0.8336  2 Mg 2.92, 2 Hg 3.20
Hg 0.5000 0.9644 0.0356  3 Tl 3.12-3.40, 4 Hg 3.29
Hg 0.6423 0.4739 0.2416  2 Mg 2.92, 2 Tl 3.14, 4 Hg 3.20-3.23
Hg 0.3577 0.7584 0.5261  2 Mg 2.92, 2 Tl 3.14, 4 Hg 3.20-3.23
Hg 0.1511 0.7606 0.9371  2 Mg 2.93, 2 Hg 3.23
Hg 0.1586 0.1664 0.5164  2 Mg 2.92, 2 Hg 3.20

***

Entry 4:
A plane-wave DFT calculation with PBE was carried out for a geometry-optimized Mg2TlHg7 structure.

The energy above the most stable polymorph in this dataset is 0.0 meV per atom. Its magnetic moment is 0.00 μB/atom.

abc: 3.2913 5.9345 13.4121
angles: 102.78 89.98 90.07
With the nearest neighbours (Å) after each atom.
Atoms (fractional coordinates):
Mg 0.5000 0.7031 0.4062  4 Hg 2.94-2.95
Mg 0.5000 0.2969 0.5938  4 Hg 2.94-2.95
Tl 0.0000 0.0000 0.0000  2 Tl 3.29, 12 Hg 3.39-3.54
Hg 0.0000 0.7960 0.5920  2 Mg 2.94
Hg 0.0000 0.2040 0.4080  2 Mg 2.94
Hg 0.5002 0.6454 0.7884  1 Mg 2.95, 5 Hg 2.95-3.29
Hg 0.4998 0.3546 0.2116  1 Mg 2.95, 5 Hg 2.95-3.29
Hg 0.5002 0.8570 0.2116  1 Mg 2.95, 5 Hg 2.95-3.29
Hg 0.4998 0.1430 0.7884  1 Mg 2.95, 5 Hg 2.95-3.29
Hg 0.5000 0.5000 0.0000  6 Hg 3.14-3.29, 4 Tl 3.39